*P*
Computed, not measured: a geometry-optimized ScAgF4 structure at the GGA-PBE level of DFT.

It has space group Cmmm (No. 65), with a = 7.556 Å, b = 7.897 Å, c = 3.290 Å, α = 90.00°, β = 90.00° and γ = 90.00°. Symmetry generates all atoms from Sc at (0.000, 0.000, 0.000), Ag at (0.000, 0.500, 0.500), F at (0.000, 0.164, 0.500) and F at (0.237, 0.500, 0.000).

*Q*
Computed, not measured: a geometry-optimized ScAgF4 structure at the GGA-PBE level of DFT.

It has space group P2_1/c (No. 14), with a = 6.169 Å, b = 5.281 Å, c = 5.835 Å, α = 90.00°, β = 103.26° and γ = 90.00°. Symmetry generates all atoms from Sc at (0.000, 0.000, 0.000), Ag at (0.500, 0.000, 0.500), F at (0.099, 0.223, 0.752) and F at (0.305, 0.647, 0.604).

Stability summary - winner: *Q*; margin: 0.038 eV/atom.